[1]
DFT (PBE) results for a geometry-optimized Mg2Sc4Cd3 structure.

Unit cell a=4.6483 b=5.5080 c=9.1599 alpha=73.83 beta=75.31 gamma=65.04
Space group P-1 (No. 2)
Inequivalent atoms, fractional coordinates:
1 Mg 0.1896 0.3630 0.2587 [2 per cell]
2 Sc 0.1596 0.0707 0.6098 [2 per cell]
3 Sc 0.4767 0.2091 0.8372 [2 per cell]
4 Cd 0.1538 0.7520 0.9399 [2 per cell]
5 Cd 0.5000 0.5000 0.5000 [1 per cell]



[2]
DFT (PBE) results for a geometry-optimized LiY2HfS5 structure.

Unit cell a=3.7863 b=16.0717 c=11.5618 alpha=90.00 beta=90.00 gamma=90.00
Space group Cmc2_1 (No. 36)
Inequivalent atoms, fractional coordinates:
1 Li 0.0000 0.0110 0.0000 [4 per cell]
2 Y 0.0000 0.3696 0.8197 [4 per cell]
3 Y 0.0000 0.3910 0.2177 [4 per cell]
4 Hf 0.0000 0.3030 0.5321 [4 per cell]
5 S 0.0000 0.0029 0.3043 [4 per cell]
6 S 0.0000 0.1413 0.5265 [4 per cell]
7 S 0.0000 0.1933 0.8782 [4 per cell]
8 S 0.0000 0.2175 0.1865 [4 per cell]
9 S 0.0000 0.4473 0.5899 [4 per cell]



[3]
DFT (PBE) results for a geometry-optimized ScAlRu structure.

Unit cell a=4.4644 b=10.7305 c=4.2868 alpha=90.00 beta=90.00 gamma=90.00
Space group Cmmm (No. 65)
Inequivalent atoms, fractional coordinates:
1 Sc 0.0000 0.1475 0.0000 [4 per cell]
2 Al 0.0000 0.3678 0.5000 [4 per cell]
3 Ru 0.0000 0.0000 0.5000 [2 per cell]
4 Ru 0.0000 0.5000 0.0000 [2 per cell]



Respective energy values: -3.61, -6.78, -7.06 eV per atom.